# 1
Entry from Alexandria: La2SbAs at its PBEsol-relaxed geometry (SCAN).

```
La2SbAs
1.0
0.0000 3.8014 3.8014
3.8014 0.0000 3.8014
3.8014 3.8014 0.0000
La Sb As
2 1 1
Direct
0.2500 0.2500 0.2500
0.7500 0.7500 0.7500
0.0000 0.0000 0.0000
0.5000 0.5000 0.5000
```

## Properties
* formation energy from raw total energies: -1202 meV per atom
* total magnetization: 0.000 μB per formula unit
* Fermi-level density of states: 1.52 states/eV/f.u.

# 2
Entry from Alexandria: LaSbAs at its PBEsol-relaxed geometry (SCAN).

```
LaSbAs
1.0
0.0000 3.5046 3.5046
3.5046 0.0000 3.5046
3.5046 3.5046 0.0000
La Sb As
1 1 1
Direct
0.0000 0.0000 0.0000
0.5000 0.5000 0.5000
0.7500 0.7500 0.7500
```

## Properties
* formation energy from raw total energies: -672 meV per atom
* total magnetization: 0.000 μB per formula unit
* Fermi-level density of states: 2.82 states/eV/f.u.

# 3
Entry from Alexandria: LaSb2As at its PBEsol-relaxed geometry (SCAN).

```
LaSb2As
1.0
2.1367 1.2336 7.3352
-2.1367 1.2336 7.3352
0.0000 -2.4673 7.3352
La Sb As
1 2 1
Direct
0.0000 0.0000 0.0000
0.2394 0.2394 0.2394
0.7606 0.7606 0.7606
0.5000 0.5000 0.5000
```

## Properties
* formation energy from raw total energies: -396 meV per atom
* total magnetization: 0.000 μB per formula unit
* Fermi-level density of states: 0.23 states/eV/f.u.

# 4
Entry from Alexandria: LaSb2As at its PBEsol-relaxed geometry (SCAN).

```
LaSb2As
1.0
0.0000 3.7384 3.7384
3.7384 0.0000 3.7384
3.7384 3.7384 0.0000
La Sb As
1 2 1
Direct
0.0000 0.0000 0.0000
0.2500 0.2500 0.2500
0.5000 0.5000 0.5000
0.7500 0.7500 0.7500
```

## Properties
* formation energy from raw total energies: -406 meV per atom
* total magnetization: 0.000 μB per formula unit
* Fermi-level density of states: 1.91 states/eV/f.u.

# 5
Entry from Alexandria: La2SbAs at its PBEsol-relaxed geometry (SCAN).

```
La2SbAs
1.0
2.2129 1.2776 7.2851
-2.2129 1.2776 7.2851
0.0000 -2.5553 7.2851
La Sb As
2 1 1
Direct
0.2449 0.2449 0.2449
0.7551 0.7551 0.7551
0.0000 0.0000 0.0000
0.5000 0.5000 0.5000
```

## Properties
* formation energy from raw total energies: -1586 meV per atom
* total magnetization: 0.000 μB per formula unit
* Fermi-level density of states: 0.33 states/eV/f.u.

# 6
Entry from Alexandria: LaSbAsSe2 at its PBEsol-relaxed geometry (SCAN).

```
LaSbAsSe2
1.0
5.2151 0.0000 0.0000
0.0000 5.2151 0.0000
0.0000 0.0000 5.1452
La Sb As Se
1 1 1 2
Direct
0.0000 0.0000 0.0000
0.5000 0.5000 0.5000
0.5000 0.5000 0.0000
0.0000 0.5000 0.5000
0.5000 0.0000 0.5000
```

## Properties
* formation energy from raw total energies: -481 meV per atom
* total magnetization: 0.000 μB per formula unit
* Fermi-level density of states: 1.91 states/eV/f.u.

# 7
Entry from Alexandria: LaSc3As at its PBEsol-relaxed geometry (SCAN).

```
LaSc3As
1.0
5.0541 0.0000 0.0000
0.0000 5.0541 0.0000
0.0000 0.0000 5.0541
La Sc As
1 3 1
Direct
0.0000 0.0000 0.0000
0.0000 0.0000 0.5000
0.0000 0.5000 0.0000
0.5000 0.0000 0.0000
0.5000 0.5000 0.5000
```

## Properties
* formation energy from the elements: 0.98 eV/atom
* energy relative to the lowest polymorph listed for this composition: 1332 meV per atom
* total magnetization: 0.000 μB per formula unit
* Fermi-level density of states: 4.82 states/eV/f.u.

# 8
Entry from Alexandria: LaSc3As at its PBEsol-relaxed geometry (SCAN).

```
LaSc3As
1.0
5.1110 0.0000 0.0000
0.0000 5.1110 0.0000
0.0000 0.0000 5.1110
La Sc As
1 3 1
Direct
0.0000 0.0000 0.0000
0.0000 0.5000 0.5000
0.5000 0.0000 0.5000
0.5000 0.5000 0.0000
0.5000 0.5000 0.5000
```

## Properties
* formation energy from the elements: -0.35 eV/atom
* energy relative to the lowest polymorph listed for this composition: 0 meV per atom
* total magnetization: 2.528 μB per formula unit
* Fermi-level density of states: 5.59 states/eV/f.u.

# 9
Entry from Alexandria: La2AsSe at its PBEsol-relaxed geometry (SCAN).

```
La2AsSe
1.0
-2.1197 2.1197 5.8714
2.1197 -2.1197 5.8714
2.1197 2.1197 -5.8714
La As Se
2 1 1
Direct
0.0000 0.0000 0.0000
0.7500 0.2500 0.5000
0.2500 0.7500 0.5000
0.5000 0.5000 0.0000
```

## Properties
* formation energy from raw total energies: -1469 meV per atom
* energy relative to the lowest polymorph listed for this composition: 587 meV per atom
* total magnetization: 0.584 μB per formula unit
* Fermi-level density of states: 2.40 states/eV/f.u.

# 10
Entry from Alexandria: La2AsSe at its PBEsol-relaxed geometry (SCAN).

```
La2AsSe
1.0
2.1456 1.2388 6.9966
-2.1456 1.2388 6.9966
0.0000 -2.4776 6.9966
La As Se
2 1 1
Direct
0.2477 0.2477 0.2477
0.7523 0.7523 0.7523
0.5000 0.5000 0.5000
0.0000 0.0000 0.0000
```

## Properties
* formation energy from raw total energies: -2056 meV per atom
* energy relative to the lowest polymorph listed for this composition: 0 meV per atom
* total magnetization: 0.000 μB per formula unit
* Fermi-level density of states: 1.38 states/eV/f.u.

# 11
Entry from Alexandria: La2AsSe at its PBEsol-relaxed geometry (SCAN).

```
La2AsSe
1.0
4.2876 0.0000 0.0000
0.0000 4.2876 0.0000
0.0000 0.0000 6.0489
La As Se
2 1 1
Direct
0.0000 0.0000 0.0000
0.5000 0.5000 0.5000
0.0000 0.0000 0.5000
0.5000 0.5000 0.0000
```

## Properties
* formation energy from raw total energies: -2047 meV per atom
* energy relative to the lowest polymorph listed for this composition: 9 meV per atom
* total magnetization: 0.000 μB per formula unit
* Fermi-level density of states: 1.49 states/eV/f.u.

# 12
Entry from Alexandria: La2TcAsSe at its PBEsol-relaxed geometry (SCAN).

```
La2TcAsSe
1.0
5.6150 0.0000 0.0000
0.0000 5.6150 0.0000
0.0000 0.0000 4.8846
La Tc As Se
2 1 1 1
Direct
0.0000 0.5000 0.0000
0.5000 0.0000 0.0000
0.0000 0.0000 0.5000
0.5000 0.5000 0.0000
0.5000 0.5000 0.5000
```

## Properties
* formation energy from raw total energies: 239 meV per atom
* total magnetization: 2.446 μB per formula unit
* Fermi-level density of states: 4.15 states/eV/f.u.

# 13
Entry from Alexandria: LaTiAs2Se at its PBEsol-relaxed geometry (SCAN).

```
LaTiAs2Se
1.0
4.7707 0.0000 0.0000
0.0000 4.7707 0.0000
0.0000 0.0000 5.0647
La Ti As Se
1 1 2 1
Direct
0.0000 0.0000 0.0000
0.5000 0.5000 0.5000
0.0000 0.5000 0.5000
0.5000 0.0000 0.5000
0.5000 0.5000 0.0000
```

## Properties
* formation energy from raw total energies: -1022 meV per atom
* total magnetization: 0.000 μB per formula unit
* Fermi-level density of states: 1.87 states/eV/f.u.

# 14
Entry from Alexandria: LaSi2As at its PBEsol-relaxed geometry (SCAN).

```
LaSi2As
1.0
2.1907 1.2648 4.9563
-2.1907 1.2648 4.9563
0.0000 -2.5296 4.9563
La Si As
1 2 1
Direct
0.0000 0.0000 0.0000
0.2088 0.2088 0.2088
0.5136 0.5136 0.5136
0.7919 0.7919 0.7919
```

## Properties
* formation energy from raw total energies: -356 meV per atom
* total magnetization: 0.000 μB per formula unit
* Fermi-level density of states: 1.88 states/eV/f.u.

# 15
Entry from Alexandria: LaSi2As at its PBEsol-relaxed geometry (SCAN).

```
LaSi2As
1.0
-2.1653 2.1653 4.3039
2.1653 -2.1653 4.3039
2.1653 2.1653 -4.3039
La Si As
1 2 1
Direct
0.0000 0.0000 0.0000
0.5000 0.5000 0.0000
0.7500 0.2500 0.5000
0.2500 0.7500 0.5000
```

## Properties
* formation energy from raw total energies: -125 meV per atom
* total magnetization: 0.000 μB per formula unit
* Fermi-level density of states: 1.74 states/eV/f.u.

# 16
Entry from Alexandria: LaSiAs2 at its PBEsol-relaxed geometry (SCAN).

```
LaSiAs2
1.0
1.9240 1.1108 6.9413
-1.9240 1.1108 6.9413
0.0000 -2.2217 6.9413
La Si As
1 1 2
Direct
0.0000 0.0000 0.0000
0.5000 0.5000 0.5000
0.2337 0.2337 0.2337
0.7663 0.7663 0.7663
```

## Properties
* formation energy from raw total energies: -414 meV per atom
* total magnetization: 0.000 μB per formula unit
* Fermi-level density of states: 3.01 states/eV/f.u.

# 17
Entry from Alexandria: LaSiAs2 at its PBEsol-relaxed geometry (SCAN).

```
LaSiAs2
1.0
-3.5844 3.5844 3.5446
3.5844 -3.5844 3.5446
3.5844 3.5844 -3.5446
La Si As
2 2 4
Direct
0.0000 0.0000 0.0000
0.7500 0.2500 0.5000
0.2500 0.7500 0.5000
0.5000 0.5000 0.0000
0.2001 0.6250 0.0751
0.3750 0.4501 0.5751
0.5499 0.1250 0.9249
0.8750 0.7999 0.4249
```

## Properties
* formation energy from raw total energies: -622 meV per atom
* total magnetization: 0.000 μB per formula unit
* Fermi-level density of states: 2.30 states/eV/f.u.

# 18
Entry from Alexandria: LaSi2As at its PBEsol-relaxed geometry (SCAN).

```
LaSi2As
1.0
4.5589 -1.8741 0.0000
4.5589 1.8741 0.0000
-1.6773 0.0000 4.7986
La Si As
1 2 1
Direct
0.0000 0.0000 0.0000
0.4821 0.4821 0.4885
0.7764 0.7764 0.3514
0.2181 0.2181 0.6389
```

## Properties
* formation energy from raw total energies: -411 meV per atom
* total magnetization: 0.000 μB per formula unit
* Fermi-level density of states: 1.40 states/eV/f.u.

# 19
Entry from Alexandria: LaSn3As at its PBEsol-relaxed geometry (SCAN).

```
LaSn3As
1.0
5.8427 0.0000 0.0000
0.0000 5.8427 0.0000
0.0000 0.0000 5.8427
La Sn As
1 3 1
Direct
0.0000 0.0000 0.0000
0.0000 0.0000 0.5000
0.0000 0.5000 0.0000
0.5000 0.0000 0.0000
0.5000 0.5000 0.5000
```

## Properties
* formation energy from the elements: 1.11 eV/atom
* total magnetization: 0.000 μB per formula unit
* Fermi-level density of states: 5.31 states/eV/f.u.

# 20
Entry from Alexandria: SrLaAs2 at its PBEsol-relaxed geometry (SCAN).

```
SrLaAs2
1.0
4.3546 0.0000 0.0000
0.0000 4.3546 0.0000
0.0000 0.0000 6.1612
Sr La As
1 1 2
Direct
0.0000 0.0000 0.0000
0.5000 0.5000 0.5000
0.0000 0.0000 0.5000
0.5000 0.5000 0.0000
```

## Properties
* formation energy from the elements: -1.32 eV/atom
* energy relative to the lowest polymorph listed for this composition: 0 meV per atom
* total magnetization: 0.000 μB per formula unit
* Fermi-level density of states: 4.09 states/eV/f.u.

# 21
Entry from Alexandria: SrLaAs2 at its PBEsol-relaxed geometry (SCAN).

```
SrLaAs2
1.0
2.3788 -2.7884 0.0000
2.3788 2.7884 0.0000
0.0000 0.0000 7.9260
Sr La As
1 1 2
Direct
0.0000 0.0000 0.0000
0.0000 0.0000 0.5000
0.5000 0.5000 0.2605
0.5000 0.5000 0.7395
```

## Properties
* formation energy from the elements: -1.19 eV/atom
* energy relative to the lowest polymorph listed for this composition: 136 meV per atom
* total magnetization: 0.000 μB per formula unit
* Fermi-level density of states: 2.12 states/eV/f.u.

# 22
Entry from Alexandria: Sr2LaAs at its PBEsol-relaxed geometry (SCAN).

```
Sr2LaAs
1.0
0.0000 3.9569 3.9569
3.9569 0.0000 3.9569
3.9569 3.9569 0.0000
Sr La As
2 1 1
Direct
0.0000 0.0000 0.0000
0.2500 0.2500 0.2500
0.5000 0.5000 0.5000
0.7500 0.7500 0.7500
```

## Properties
* formation energy from the elements: -0.11 eV/atom
* total magnetization: 2.032 μB per formula unit
* Fermi-level density of states: 2.86 states/eV/f.u.

# 23
Entry from Alexandria: Sr2LaAs at its PBEsol-relaxed geometry (SCAN).

```
Sr2LaAs
1.0
-2.3893 2.3893 5.4199
2.3893 -2.3893 5.4199
2.3893 2.3893 -5.4199
Sr La As
2 1 1
Direct
0.0000 0.0000 0.0000
0.7500 0.2500 0.5000
0.2500 0.7500 0.5000
0.5000 0.5000 0.0000
```

## Properties
* formation energy from the elements: -0.31 eV/atom
* total magnetization: 0.000 μB per formula unit
* Fermi-level density of states: 2.94 states/eV/f.u.

# 24
Entry from Alexandria: LaTa2As at its PBEsol-relaxed geometry (SCAN).

```
LaTa2As
1.0
4.2548 0.0000 0.0000
0.0000 1.7458 6.0042
0.0000 -1.7458 6.0042
La Ta As
1 2 1
Direct
0.0000 0.0000 0.0000
0.0000 0.7393 0.7393
0.5000 0.2673 0.2673
0.5000 0.6017 0.6017
```

## Properties
* formation energy from the elements: -0.24 eV/atom
* total magnetization: 0.000 μB per formula unit
* Fermi-level density of states: 2.86 states/eV/f.u.

# 25
Entry from Alexandria: La2TaAs at its PBEsol-relaxed geometry (SCAN).

```
La2TaAs
1.0
0.0000 3.5682 3.5682
3.5682 0.0000 3.5682
3.5682 3.5682 0.0000
La Ta As
2 1 1
Direct
0.0000 0.0000 0.0000
0.2500 0.2500 0.2500
0.5000 0.5000 0.5000
0.7500 0.7500 0.7500
```

## Properties
* formation energy from the elements: 0.14 eV/atom
* total magnetization: 2.401 μB per formula unit
* Fermi-level density of states: 3.41 states/eV/f.u.

# 26
Entry from Alexandria: LaTa3As at its PBEsol-relaxed geometry (SCAN).

```
LaTa3As
1.0
4.8659 0.0000 0.0000
0.0000 4.8659 0.0000
0.0000 0.0000 4.8659
La Ta As
1 3 1
Direct
0.0000 0.0000 0.0000
0.0000 0.0000 0.5000
0.0000 0.5000 0.0000
0.5000 0.0000 0.0000
0.5000 0.5000 0.5000
```

## Properties
* formation energy from the elements: 2.43 eV/atom
* total magnetization: 0.000 μB per formula unit
* Fermi-level density of states: 3.55 states/eV/f.u.

# 27
Entry from Alexandria: La3TaAs at its PBEsol-relaxed geometry (SCAN).

```
La3TaAs
1.0
5.5818 0.0000 0.0000
0.0000 5.5818 0.0000
0.0000 0.0000 5.5818
La Ta As
3 1 1
Direct
0.0000 0.0000 0.5000
0.0000 0.5000 0.0000
0.5000 0.0000 0.0000
0.5000 0.5000 0.5000
0.0000 0.0000 0.0000
```

## Properties
* formation energy from the elements: 0.29 eV/atom
* total magnetization: 3.190 μB per formula unit
* Fermi-level density of states: 6.75 states/eV/f.u.

# 28
Entry from Alexandria: LaTa2As2 at its PBEsol-relaxed geometry (SCAN).

```
LaTa2As2
1.0
-1.9743 1.9743 6.6165
1.9743 -1.9743 6.6165
1.9743 1.9743 -6.6165
La Ta As
1 2 2
Direct
0.0000 0.0000 0.0000
0.2500 0.7500 0.5000
0.7500 0.2500 0.5000
0.3836 0.3836 0.0000
0.6164 0.6164 0.0000
```

## Properties
* formation energy from the elements: -0.81 eV/atom
* total magnetization: 0.000 μB per formula unit
* Fermi-level density of states: 1.80 states/eV/f.u.

# 29
Entry from Alexandria: LaTa4As at its PBEsol-relaxed geometry (SCAN).

```
LaTa4As
1.0
0.0000 3.9590 3.9590
3.9590 0.0000 3.9590
3.9590 3.9590 0.0000
La Ta As
1 4 1
Direct
0.0000 0.0000 0.0000
0.3728 0.3728 0.3728
0.3728 0.3728 0.8816
0.3728 0.8816 0.3728
0.8816 0.3728 0.3728
0.7500 0.7500 0.7500
```

## Properties
* formation energy from the elements: 0.50 eV/atom
* total magnetization: 0.000 μB per formula unit
* Fermi-level density of states: 5.74 states/eV/f.u.

# 30
Entry from Alexandria: LaTaAs at its PBEsol-relaxed geometry (SCAN).

```
LaTaAs
1.0
0.0000 3.4659 3.4659
3.4659 0.0000 3.4659
3.4659 3.4659 0.0000
La Ta As
1 1 1
Direct
0.0000 0.0000 0.0000
0.2500 0.2500 0.2500
0.7500 0.7500 0.7500
```

## Properties
* formation energy from the elements: 0.97 eV/atom
* total magnetization: 3.950 μB per formula unit
* Fermi-level density of states: 2.18 states/eV/f.u.